Compound: Cd2CoNO
Source: Alexandria
Functional: SCAN
Structure: PBEsol geometry

abc: 3.8254 4.3551 4.3551
angles: 90.00 90.00 90.00
Each line ends with the local moment (μB).
Atoms (fractional coordinates):
Cd  0.0000  0.5000  0.0000  -0.02
Co  0.5000  0.5000  0.5000  1.97
O  0.5000  0.0000  0.0000  0.30
Cd  0.0000  0.0000  0.5000  -0.02
N  0.0000  0.0000  0.0000  -0.21

## Properties
calculated total energy: -89.1 eV/f.u.
density of states at the Fermi level: 0.984 states/eV per cell

=====

Compound: CdCoSeN2
Source: Alexandria
Functional: SCAN
Structure: PBEsol geometry

abc: 4.0382 4.0382 5.6091
angles: 90.00 90.00 90.00
Each line ends with the local moment (μB).
Atoms (fractional coordinates):
Co  0.5000  0.5000  0.5000  2.34
N  0.5000  0.0000  0.0000  1.20
Se  0.0000  0.0000  0.5000  0.27
Cd  0.0000  0.0000  0.0000  0.08
N  0.0000  0.5000  0.0000  1.20

## Properties
calculated total energy: -77.4 eV/f.u.
density of states at the Fermi level: 3.864 states/eV per cell

=====

Compound: Nb2CdCo2
Source: Alexandria
Functional: SCAN
Structure: PBEsol geometry

abc: 2.9840 7.0418 7.0418
angles: 90.00 90.00 90.00
Atoms (fractional coordinates):
Nb  0.5000  0.8322  0.3322
Cd  0.0000  0.0000  0.0000
Co  0.0000  0.3735  0.8735
Nb  0.5000  0.6678  0.8322
Co  0.0000  0.8735  0.6265
Co  0.0000  0.1265  0.3735
Nb  0.5000  0.3322  0.1678
Nb  0.5000  0.1678  0.6678
Co  0.0000  0.6265  0.1265
Cd  0.0000  0.5000  0.5000

## Properties
calculated total energy: -131.3 eV/f.u.
E_form: -0.03 kJ per mole of atoms
density of states at the Fermi level: 4.092 states/eV per cell

=====

Compound: CdCoNi
Source: Alexandria
Functional: SCAN
Structure: PBEsol geometry

abc: 2.7220 2.7220 5.6740
angles: 103.88 103.88 90.00
Each line ends with the local moment (μB).
Atoms (fractional coordinates):
Cd  0.0007  0.0007  0.0014  -0.05
Co  0.3151  0.3151  0.6302  1.81
Ni  0.6842  0.6842  0.3685  0.66

## Properties
calculated total energy: -63.2 eV/f.u.
E_form: 23.34 kJ per mole of atoms
density of states at the Fermi level: 3.157 states/eV per cell

=====

Compound: CdCoNi6
Source: Alexandria
Functional: SCAN
Structure: PBEsol geometry

abc: 6.1753 6.1753 10.1385
angles: 90.00 90.00 109.79
Each line ends with the local moment (μB).
Atoms (fractional coordinates):
Co  0.5000  0.5000  0.7531  2.09
Ni  0.8583  0.6150  0.3667  0.65
Ni  0.6150  0.8583  0.6333  0.65
Ni  0.3850  0.1417  0.6333  0.65
Ni  0.1417  0.3850  0.3667  0.65
Ni  0.6124  0.8693  0.1181  0.79
Ni  0.7436  0.2564  0.2379  0.74
Co  0.2450  0.7550  0.0000  2.08
Ni  0.1417  0.3850  0.6333  0.65
Co  0.5000  0.5000  0.2469  2.09
Ni  0.5000  0.5000  0.5000  0.70
Cd  0.0000  0.0000  0.2472  -0.05
Ni  0.2564  0.7436  0.7621  0.74
Co  0.7550  0.2450  0.0000  2.08
Cd  0.0000  0.0000  0.7528  -0.05
Ni  0.0000  0.0000  0.5000  0.49
Ni  0.2564  0.7436  0.2379  0.74
Ni  0.3876  0.1307  0.8819  0.79
Cd  0.2437  0.7563  0.5000  -0.05
Ni  0.7436  0.2564  0.7621  0.74
Ni  0.8583  0.6150  0.6333  0.65
Ni  0.8693  0.6124  0.1181  0.79
Ni  0.0000  0.0000  0.0000  0.69
Ni  0.6150  0.8583  0.3667  0.65
Ni  0.3876  0.1307  0.1181  0.79
Ni  0.5000  0.5000  0.0000  0.87
Ni  0.6124  0.8693  0.8819  0.79
Ni  0.1307  0.3876  0.8819  0.79
Ni  0.3850  0.1417  0.3667  0.65
Ni  0.8693  0.6124  0.8819  0.79
Ni  0.1307  0.3876  0.1181  0.79
Cd  0.7563  0.2437  0.5000  -0.05

## Properties
calculated total energy: -143.9 eV/f.u.
E_form: 9.90 kJ per mole of atoms
density of states at the Fermi level: 22.018 states/eV per cell

=====

Compound: CdCoNi2
Source: Alexandria
Functional: SCAN
Structure: PBEsol geometry

abc: 2.6322 4.4315 4.5705
angles: 100.33 90.00 107.28
Each line ends with the local moment (μB).
Atoms (fractional coordinates):
Co  0.7399  0.4797  0.2070  1.88
Ni  0.0009  0.0018  0.0105  0.54
Cd  0.5005  0.0009  0.5075  -0.04
Ni  0.2588  0.5176  0.7750  0.59

## Properties
calculated total energy: -79.1 eV/f.u.
E_form: 23.66 kJ per mole of atoms
relative energy among the computed polymorphs: 0.037 eV/atom
density of states at the Fermi level: 2.865 states/eV per cell

=====

Compound: CdCoNi2
Source: Alexandria
Functional: SCAN
Structure: PBEsol geometry

abc: 2.7047 2.7047 6.8098
angles: 90.00 90.00 90.00
Each line ends with the local moment (μB).
Atoms (fractional coordinates):
Ni  0.5000  0.5000  0.2157  0.46
Ni  0.0000  0.0000  0.9969  0.84
Co  0.5000  0.5000  0.7900  1.83
Cd  0.0000  0.0000  0.4974  -0.03

## Properties
calculated total energy: -79.2 eV/f.u.
E_form: 20.10 kJ per mole of atoms
relative energy among the computed polymorphs: 0.000 eV/atom
density of states at the Fermi level: 3.036 states/eV per cell

=====

Compound: CdCoNi2
Source: Alexandria
Functional: SCAN
Structure: PBEsol geometry

abc: 2.6442 4.4423 4.4423
angles: 107.19 90.00 90.00
Each line ends with the local moment (μB).
Atoms (fractional coordinates):
Ni  0.0000  0.0000  0.5000  0.47
Ni  0.0000  0.5000  0.0000  0.47
Co  0.5000  0.0000  0.0000  1.93
Cd  0.5000  0.5000  0.5000  -0.03

## Properties
calculated total energy: -79.2 eV/f.u.
E_form: 22.00 kJ per mole of atoms
relative energy among the computed polymorphs: 0.020 eV/atom
density of states at the Fermi level: 3.193 states/eV per cell

=====

Compound: CdCoNiS2
Source: Alexandria
Functional: SCAN
Structure: PBEsol geometry

abc: 4.7016 4.8046 4.8046
angles: 90.00 90.00 90.00
Each line ends with the local moment (μB).
Atoms (fractional coordinates):
S  0.0000  0.5000  0.0000  0.14
Cd  0.0000  0.0000  0.0000  -0.04
S  0.0000  0.0000  0.5000  0.14
Ni  0.5000  0.5000  0.5000  1.09
Co  0.5000  0.0000  0.0000  1.90

## Properties
calculated total energy: -75.8 eV/f.u.
density of states at the Fermi level: 9.130 states/eV per cell

=====

Compound: SrCdCoNi2
Source: Alexandria
Functional: SCAN
Structure: PBEsol geometry

abc: 4.7271 4.7271 4.7338
angles: 90.00 90.00 90.00
Each line ends with the local moment (μB).
Atoms (fractional coordinates):
Ni  0.5000  0.0000  0.0000  -0.41
Cd  0.0000  0.0000  0.0000  0.00
Sr  0.5000  0.5000  0.5000  -0.01
Ni  0.0000  0.5000  0.0000  -0.41
Co  0.0000  0.0000  0.5000  2.13

## Properties
calculated total energy: -98.0 eV/f.u.
E_form: 82.95 kJ per mole of atoms
density of states at the Fermi level: 5.561 states/eV per cell

=====

Compound: Cd6Co5O15
Source: Alexandria
Functional: SCAN
Structure: PBEsol geometry

abc: 6.6381 6.6385 6.6383
angles: 87.26 87.27 87.27
Each line ends with the local moment (μB).
Atoms (fractional coordinates):
Cd  0.9730  0.3056  0.6558  0.01
O  0.4270  0.7226  0.6590  0.06
O  0.5855  0.3038  0.3207  0.05
O  0.9761  0.6621  0.7737  0.03
O  0.7737  0.9761  0.6621  0.03
Cd  0.1321  0.8063  0.4902  0.00
O  0.6621  0.7737  0.9761  0.03
Cd  0.3057  0.6557  0.9729  0.01
O  0.2914  0.3145  0.0277  0.06
O  0.3038  0.3208  0.5855  0.05
O  0.3207  0.5855  0.3037  0.05
O  0.6591  0.4270  0.7225  0.06
Co  0.9078  0.9078  0.9078  0.25
Co  0.3069  0.3069  0.3069  0.62
Co  0.5043  0.5043  0.5042  0.48
Co  0.1112  0.1112  0.1112  0.45
O  0.0277  0.2914  0.3145  0.06
O  0.1840  0.9736  0.8809  0.07
Cd  0.6558  0.9731  0.3057  0.01
Co  0.7040  0.7040  0.7040  0.30
O  0.8808  0.1840  0.9736  0.07
Cd  0.4903  0.1322  0.8065  0.00
O  0.9736  0.8808  0.1840  0.07
O  0.3145  0.0277  0.2915  0.06
O  0.7226  0.6591  0.4270  0.06
Cd  0.8065  0.4903  0.1322  0.00

## Properties
calculated total energy: -392.9 eV/f.u.
density of states at the Fermi level: 10.711 states/eV per cell

=====

Compound: CdCo2O4
Source: Alexandria
Functional: SCAN
Structure: PBEsol geometry

abc: 4.8624 5.6134 10.8138
angles: 90.02 90.00 90.00
Atoms (fractional coordinates):
O  0.8324  0.0017  0.9055
O  0.6738  0.2500  0.4132
Co  0.9960  0.7500  0.0054
Co  0.4999  0.5000  0.0000
O  0.6735  0.2500  0.0869
O  0.3262  0.7499  0.9132
O  0.6584  0.7500  0.0907
O  0.1675  0.9982  0.4054
O  0.3416  0.2501  0.5907
O  0.8328  0.4982  0.5946
Cd  0.6340  0.2498  0.7500
Co  0.5002  0.0000  0.5000
O  0.1672  0.9982  0.0946
O  0.1675  0.5018  0.4054
Cd  0.3660  0.7501  0.2500
O  0.8328  0.0019  0.5945
Co  0.0040  0.2500  0.5054
Cd  0.9602  0.2502  0.2500
O  0.8325  0.4981  0.9055
O  0.3265  0.7501  0.5868
Co  0.5002  0.5000  0.5000
O  0.6587  0.7500  0.4093
O  0.3413  0.2499  0.9093
Co  0.0037  0.2500  0.9946
Cd  0.0398  0.7499  0.7500
O  0.1672  0.5018  0.0945
Co  0.9963  0.7500  0.4946
Co  0.4998  0.0000  0.0000

## Properties
calculated total energy: -99.9 eV/f.u.
density of states at the Fermi level: 0.000 states/eV per cell

=====

Question: Among the records above, which one has the highest calculated total energy?
Answer: CdCoNi